[1]
ZrSiIr2: relaxed, GGA-PBEsol.

POSCAR file:
```
ZrSiIr2
1.0
-0.978 2.199 2.242
-2.068 -2.218 1.273
4.108 -1.793 3.550
Ir Si Zr
2 1 1
direct
0.000 0.000 0.768
0.000 0.000 0.232
0.500 0.500 0.000
0.500 0.500 0.500
```

[2]
ZrSi2Ir: relaxed, GGA-PBEsol.

POSCAR file:
```
ZrSi2Ir
1.0
2.943 0.000 0.000
0.000 3.437 0.000
0.000 0.000 6.002
Ir Si Zr
1 2 1
direct
0.500 0.500 0.810
0.000 0.000 0.989
0.500 0.500 0.220
0.000 0.000 0.480
```

[3]
Zr2Si2Ir: relaxed, GGA-PBEsol.

POSCAR file:
```
Zr2Si2Ir
1.0
-2.426 -3.391 -0.355
3.598 -2.087 -4.652
3.593 -3.002 4.126
Si Ir Zr
4 2 4
direct
0.000 0.364 0.864
0.000 0.864 0.636
0.000 0.636 0.136
0.000 0.136 0.364
0.000 0.000 0.000
0.000 0.500 0.500
0.500 0.169 0.669
0.500 0.669 0.831
0.500 0.831 0.331
0.500 0.331 0.169
```

The records above give, respectively, magnetization values of 0.0; 0.0; 0.0 μB/f.u..
The records above give, respectively, E_tot values of -9.211; -8.238; -8.995 eV/atom.
The records above give, respectively, V values of 15.47; 15.18; 16.30 Å³ per atom.